(1)
{"formula": "CdNiSnTe3", "functional": "PBE-GGA", "state": "optimized geometry", "lattice_angstrom": [[1.9626, -7.4358, 0.0000], [1.9626, 7.4358, 0.0000], [0.0000, 0.0000, 11.8442]], "species": ["Cd", "Cd", "Ni", "Ni", "Sn", "Sn", "Te", "Te", "Te", "Te", "Te", "Te"], "fractional_positions": [[0.0026, 0.9974, 0.7500], [0.9974, 0.0026, 0.2500], [0.5000, 0.5000, 0.0000], [0.5000, 0.5000, 0.5000], [0.2978, 0.7022, 0.7500], [0.7022, 0.2978, 0.2500], [0.1045, 0.8955, 0.0500], [0.1045, 0.8955, 0.4500], [0.3509, 0.6491, 0.2500], [0.6491, 0.3509, 0.7500], [0.8955, 0.1045, 0.5500], [0.8955, 0.1045, 0.9500]]}

(2)
{"formula": "Sn2Pt2O5", "functional": "PBE-GGA", "state": "optimized geometry", "lattice_angstrom": [[4.0194, 0.0000, 0.0000], [0.0000, 4.0194, 0.0000], [0.0000, 0.0000, 7.0959]], "species": ["Sn", "Sn", "Pt", "Pt", "O", "O", "O", "O", "O"], "fractional_positions": [[0.0000, 0.0000, 0.0000], [0.0000, 0.0000, 0.5000], [0.5000, 0.5000, 0.1947], [0.5000, 0.5000, 0.8053], [0.0000, 0.5000, 0.2487], [0.0000, 0.5000, 0.7513], [0.5000, 0.0000, 0.2487], [0.5000, 0.0000, 0.7513], [0.5000, 0.5000, 0.5000]]}

no.,excess energy over the best structure of this formula in the dataset (meV/atom)
1,27.6
2,0.0